Entry from the Alexandria database: KCdSe2 after structural relaxation (PBE).

Values from the calculation:
formation energy without anion corrections	-0.33	eV/atom
M_tot	0.00	μB per formula unit
total energy	-2.58	eV/atom

Cell lengths 4.988, 4.988, 4.016 Å; angles 90.00, 90.00, 90.00 degrees
Space group P4/mmm (No. 123)
Unique sites:
K: 0.000 0.000 0.000 [1 per cell]
Cd: 0.500 0.500 0.000 [1 per cell]
Se: 0.000 0.500 0.500 [2 per cell]